No. 1
# GdMgCoRh GGA-PBE optimized geometry
data_GdMgCoRh
_cell_length_a 4.607
_cell_length_b 4.607
_cell_length_c 4.607
_cell_angle_alpha 60.00
_cell_angle_beta 60.00
_cell_angle_gamma 60.00
_space_group_name_H-M_alt 'P 1'
_space_group_IT_number 1
loop_
_space_group_symop_operation_xyz
'x,y,z'
loop_
_atom_site_label
_atom_site_fract_x
_atom_site_fract_y
_atom_site_fract_z
Co1 0.000 0.000 0.000
Mg1 0.250 0.250 0.250
Gd1 0.750 0.750 0.750
Rh1 0.500 0.500 0.500
# Formation energy = -0.290 eV per atom
# Size of the total moment = 7.00 Bohr magnetons per cell

***

No. 2
# Tb3In3Hg2 GGA-PBE optimized geometry
data_Tb3In3Hg2
_cell_length_a 3.725
_cell_length_b 8.061
_cell_length_c 8.061
_cell_angle_alpha 120.00
_cell_angle_beta 90.00
_cell_angle_gamma 90.00
_space_group_name_H-M_alt 'P 1'
_space_group_IT_number 1
loop_
_space_group_symop_operation_xyz
'x,y,z'
loop_
_atom_site_label
_atom_site_fract_x
_atom_site_fract_y
_atom_site_fract_z
Tb1 0.500 0.393 0.393
Tb2 0.500 0.607 0.000
Tb3 0.500 0.000 0.607
In1 0.000 0.768 0.768
In2 0.000 0.232 0.000
In3 0.000 0.000 0.232
Hg1 0.000 0.333 0.667
Hg2 0.000 0.667 0.333
# Formation energy = -0.431 eV per atom
# Size of the total moment = 0.00 Bohr magnetons per cell
# Excess energy over the best structure of this formula in the dataset = 0.00 eV/f.u.

***

No. 3
# HfCo3Te GGA-PBE optimized geometry
data_HfCo3Te
_cell_length_a 4.590
_cell_length_b 4.590
_cell_length_c 4.590
_cell_angle_alpha 90.00
_cell_angle_beta 90.00
_cell_angle_gamma 90.00
_space_group_name_H-M_alt 'P 1'
_space_group_IT_number 1
loop_
_space_group_symop_operation_xyz
'x,y,z'
loop_
_atom_site_label
_atom_site_fract_x
_atom_site_fract_y
_atom_site_fract_z
Co1 0.000 0.500 0.000
Co2 0.000 0.000 0.500
Co3 0.500 0.000 0.000
Te1 0.500 0.500 0.500
Hf1 0.000 0.000 0.000
# Size of the total moment = 2.14 Bohr magnetons per cell
# Excess energy over the best structure of this formula in the dataset = 1.68 eV/f.u.

***

No. 4
# CrAu2C2 GGA-PBE optimized geometry
data_CrAu2C2
_cell_length_a 2.619
_cell_length_b 2.619
_cell_length_c 9.166
_cell_angle_alpha 81.79
_cell_angle_beta 81.79
_cell_angle_gamma 90.00
_space_group_name_H-M_alt 'P 1'
_space_group_IT_number 1
loop_
_space_group_symop_operation_xyz
'x,y,z'
loop_
_atom_site_label
_atom_site_fract_x
_atom_site_fract_y
_atom_site_fract_z
Cr1 0.000 0.000 0.000
C1 0.750 0.250 0.500
C2 0.250 0.750 0.500
Au1 0.384 0.384 0.231
Au2 0.616 0.616 0.769
# Formation energy = 1.605 eV per atom
# Size of the total moment = 0.00 Bohr magnetons per cell
# Excess energy over the best structure of this formula in the dataset = 0.00 eV/f.u.

***

No. 5
# CaVIn3 GGA-PBE optimized geometry
data_CaVIn3
_cell_length_a 5.173
_cell_length_b 5.173
_cell_length_c 5.173
_cell_angle_alpha 90.00
_cell_angle_beta 90.00
_cell_angle_gamma 90.00
_space_group_name_H-M_alt 'P 1'
_space_group_IT_number 1
loop_
_space_group_symop_operation_xyz
'x,y,z'
loop_
_atom_site_label
_atom_site_fract_x
_atom_site_fract_y
_atom_site_fract_z
Ca1 0.500 0.500 0.500
In1 0.000 0.500 0.000
In2 0.000 0.000 0.500
In3 0.500 0.000 0.000
V1 0.000 0.000 0.000
# Formation energy = 0.099 eV per atom
# Size of the total moment = 0.00 Bohr magnetons per cell
# Excess energy over the best structure of this formula in the dataset = 0.00 eV/f.u.

***

No. 6
# DyThCoPd GGA-PBE optimized geometry
data_DyThCoPd
_cell_length_a 4.957
_cell_length_b 4.957
_cell_length_c 4.957
_cell_angle_alpha 60.00
_cell_angle_beta 60.00
_cell_angle_gamma 60.00
_space_group_name_H-M_alt 'P 1'
_space_group_IT_number 1
loop_
_space_group_symop_operation_xyz
'x,y,z'
loop_
_atom_site_label
_atom_site_fract_x
_atom_site_fract_y
_atom_site_fract_z
Co1 0.750 0.750 0.750
Pd1 0.250 0.250 0.250
Th1 0.000 0.000 0.000
Dy1 0.500 0.500 0.500
# Formation energy = -0.416 eV per atom
# Size of the total moment = 0.41 Bohr magnetons per cell
# Excess energy over the best structure of this formula in the dataset = 0.67 eV/f.u.

***

No. 7
# SmHo2Cd5 GGA-PBE optimized geometry
data_SmHo2Cd5
_cell_length_a 5.161
_cell_length_b 5.161
_cell_length_c 8.332
_cell_angle_alpha 108.04
_cell_angle_beta 108.04
_cell_angle_gamma 90.00
_space_group_name_H-M_alt 'P 1'
_space_group_IT_number 1
loop_
_space_group_symop_operation_xyz
'x,y,z'
loop_
_atom_site_label
_atom_site_fract_x
_atom_site_fract_y
_atom_site_fract_z
Sm1 0.000 0.000 0.000
Ho1 0.738 0.738 0.476
Ho2 0.262 0.262 0.524
Cd1 0.500 0.500 0.000
Cd2 0.877 0.377 0.755
Cd3 0.377 0.877 0.755
Cd4 0.123 0.623 0.245
Cd5 0.623 0.123 0.245
# Formation energy = -0.309 eV per atom
# Size of the total moment = 0.00 Bohr magnetons per cell

***

No. 8
# Na3SbH GGA-PBE optimized geometry
data_Na3SbH
_cell_length_a 6.650
_cell_length_b 8.744
_cell_length_c 8.056
_cell_angle_alpha 82.94
_cell_angle_beta 90.00
_cell_angle_gamma 90.00
_space_group_name_H-M_alt 'P 1'
_space_group_IT_number 1
loop_
_space_group_symop_operation_xyz
'x,y,z'
loop_
_atom_site_label
_atom_site_fract_x
_atom_site_fract_y
_atom_site_fract_z
Na1 0.994 0.086 0.174
Na2 0.006 0.914 0.826
Na3 0.494 0.414 0.326
Na4 0.506 0.586 0.674
Na5 0.029 0.396 0.352
Na6 0.971 0.604 0.648
Na7 0.529 0.104 0.148
Na8 0.471 0.896 0.852
Na9 0.721 0.227 0.668
Na10 0.279 0.773 0.332
Na11 0.221 0.273 0.832
Na12 0.779 0.727 0.168
Sb1 0.709 0.925 0.490
Sb2 0.291 0.075 0.510
Sb3 0.209 0.575 0.010
Sb4 0.791 0.425 0.990
H1 0.254 0.048 0.000
H2 0.746 0.952 0.000
H3 0.754 0.452 0.500
H4 0.246 0.548 0.500
# Size of the total moment = 0.00 Bohr magnetons per cell
# Excess energy over the best structure of this formula in the dataset = 0.04 eV/f.u.

***

No. 9
# Pr4AlZn2In GGA-PBE optimized geometry
data_Pr4AlZn2In
_cell_length_a 5.354
_cell_length_b 5.354
_cell_length_c 9.285
_cell_angle_alpha 73.24
_cell_angle_beta 73.24
_cell_angle_gamma 60.00
_space_group_name_H-M_alt 'P 1'
_space_group_IT_number 1
loop_
_space_group_symop_operation_xyz
'x,y,z'
loop_
_atom_site_label
_atom_site_fract_x
_atom_site_fract_y
_atom_site_fract_z
Pr1 0.378 0.378 0.865
Pr2 0.872 0.872 0.385
Pr3 0.128 0.128 0.615
Pr4 0.622 0.622 0.135
Al1 0.500 0.500 0.500
Zn1 0.749 0.749 0.752
Zn2 0.251 0.251 0.248
In1 0.000 0.000 0.000
# Formation energy = -0.351 eV per atom
# Size of the total moment = 0.00 Bohr magnetons per cell

***

No. 10
# PmMgPdRu GGA-PBE optimized geometry
data_PmMgPdRu
_cell_length_a 4.754
_cell_length_b 4.754
_cell_length_c 4.754
_cell_angle_alpha 60.00
_cell_angle_beta 60.00
_cell_angle_gamma 60.00
_space_group_name_H-M_alt 'P 1'
_space_group_IT_number 1
loop_
_space_group_symop_operation_xyz
'x,y,z'
loop_
_atom_site_label
_atom_site_fract_x
_atom_site_fract_y
_atom_site_fract_z
Ru1 0.750 0.750 0.750
Mg1 0.000 0.000 0.000
Pd1 0.250 0.250 0.250
Pm1 0.500 0.500 0.500
# Formation energy = -0.336 eV per atom
# Size of the total moment = 0.00 Bohr magnetons per cell

***

No. 11
# NaTi3Ni GGA-PBE optimized geometry
data_NaTi3Ni
_cell_length_a 4.594
_cell_length_b 4.594
_cell_length_c 4.594
_cell_angle_alpha 90.00
_cell_angle_beta 90.00
_cell_angle_gamma 90.00
_space_group_name_H-M_alt 'P 1'
_space_group_IT_number 1
loop_
_space_group_symop_operation_xyz
'x,y,z'
loop_
_atom_site_label
_atom_site_fract_x
_atom_site_fract_y
_atom_site_fract_z
Ni1 0.500 0.500 0.500
Na1 0.000 0.000 0.000
Ti1 0.000 0.500 0.000
Ti2 0.000 0.000 0.500
Ti3 0.500 0.000 0.000
# Formation energy = 1.847 eV per atom
# Size of the total moment = 0.00 Bohr magnetons per cell
# Excess energy over the best structure of this formula in the dataset = 6.48 eV/f.u.

***

No. 12
# ScH2I3 GGA-PBE optimized geometry
data_ScH2I3
_cell_length_a 8.343
_cell_length_b 8.343
_cell_length_c 7.035
_cell_angle_alpha 90.00
_cell_angle_beta 90.00
_cell_angle_gamma 120.00
_space_group_name_H-M_alt 'P 1'
_space_group_IT_number 1
loop_
_space_group_symop_operation_xyz
'x,y,z'
loop_
_atom_site_label
_atom_site_fract_x
_atom_site_fract_y
_atom_site_fract_z
Sc1 0.000 0.000 0.000
Sc2 0.000 0.000 0.500
H1 0.333 0.667 0.803
H2 0.667 0.333 0.303
H3 0.667 0.333 0.197
H4 0.333 0.667 0.697
I1 0.682 0.841 0.250
I2 0.159 0.318 0.250
I3 0.159 0.841 0.250
I4 0.318 0.159 0.750
I5 0.841 0.682 0.750
I6 0.841 0.159 0.750
# Uncorrected energy = -3.774 eV per atom
# Size of the total moment = 0.00 Bohr magnetons per cell

***

No. 13
# K2PtW GGA-PBE optimized geometry
data_K2PtW
_cell_length_a 11.988
_cell_length_b 11.988
_cell_length_c 8.826
_cell_angle_alpha 47.23
_cell_angle_beta 47.23
_cell_angle_gamma 90.00
_space_group_name_H-M_alt 'P 1'
_space_group_IT_number 1
loop_
_space_group_symop_operation_xyz
'x,y,z'
loop_
_atom_site_label
_atom_site_fract_x
_atom_site_fract_y
_atom_site_fract_z
K1 0.788 0.125 0.250
K2 0.962 0.625 0.250
K3 0.375 0.212 0.750
K4 0.875 0.038 0.750
W1 0.500 0.500 0.000
W2 0.250 0.750 0.500
Pt1 0.000 0.000 0.000
Pt2 0.750 0.250 0.500
# Formation energy = 1.089 eV per atom
# Size of the total moment = 7.06 Bohr magnetons per cell
# Excess energy over the best structure of this formula in the dataset = 2.26 eV/f.u.

***

No. 14
# BOsI3 GGA-PBE optimized geometry
data_BOsI3
_cell_length_a 5.431
_cell_length_b 5.431
_cell_length_c 5.431
_cell_angle_alpha 90.00
_cell_angle_beta 90.00
_cell_angle_gamma 90.00
_space_group_name_H-M_alt 'P 1'
_space_group_IT_number 1
loop_
_space_group_symop_operation_xyz
'x,y,z'
loop_
_atom_site_label
_atom_site_fract_x
_atom_site_fract_y
_atom_site_fract_z
I1 0.000 0.500 0.000
I2 0.000 0.000 0.500
I3 0.500 0.000 0.000
B1 0.500 0.500 0.500
Os1 0.000 0.000 0.000
# Size of the total moment = 1.38 Bohr magnetons per cell
# Excess energy over the best structure of this formula in the dataset = 0.00 eV/f.u.

***

No. 15
# Be2AgCl GGA-PBE optimized geometry
data_Be2AgCl
_cell_length_a 3.952
_cell_length_b 3.952
_cell_length_c 6.046
_cell_angle_alpha 106.37
_cell_angle_beta 106.37
_cell_angle_gamma 60.13
_space_group_name_H-M_alt 'P 1'
_space_group_IT_number 1
loop_
_space_group_symop_operation_xyz
'x,y,z'
loop_
_atom_site_label
_atom_site_fract_x
_atom_site_fract_y
_atom_site_fract_z
Be1 0.984 0.984 0.973
Be2 0.629 0.629 0.896
Ag1 0.346 0.346 0.073
Cl1 0.540 0.540 0.558
# Size of the total moment = 0.00 Bohr magnetons per cell
# Excess energy over the best structure of this formula in the dataset = 0.10 eV/f.u.

***

No. 16
# SrLiRe2 GGA-PBE optimized geometry
data_SrLiRe2
_cell_length_a 10.411
_cell_length_b 10.411
_cell_length_c 10.411
_cell_angle_alpha 16.11
_cell_angle_beta 16.11
_cell_angle_gamma 16.11
_space_group_name_H-M_alt 'P 1'
_space_group_IT_number 1
loop_
_space_group_symop_operation_xyz
'x,y,z'
loop_
_atom_site_label
_atom_site_fract_x
_atom_site_fract_y
_atom_site_fract_z
Li1 0.737 0.737 0.737
Re1 0.995 0.995 0.995
Re2 0.263 0.263 0.263
Sr1 0.506 0.506 0.506
# Formation energy = 0.768 eV per atom
# Size of the total moment = 0.00 Bohr magnetons per cell
# Excess energy over the best structure of this formula in the dataset = 1.31 eV/f.u.

***

No. 17
# Li2NdThAu4 GGA-PBE optimized geometry
data_Li2NdThAu4
_cell_length_a 5.116
_cell_length_b 5.116
_cell_length_c 8.330
_cell_angle_alpha 72.12
_cell_angle_beta 72.12
_cell_angle_gamma 60.00
_space_group_name_H-M_alt 'P 1'
_space_group_IT_number 1
loop_
_space_group_symop_operation_xyz
'x,y,z'
loop_
_atom_site_label
_atom_site_fract_x
_atom_site_fract_y
_atom_site_fract_z
Li1 0.749 0.749 0.754
Li2 0.251 0.251 0.246
Nd1 0.000 0.000 0.000
Th1 0.500 0.500 0.500
Au1 0.369 0.369 0.892
Au2 0.866 0.866 0.402
Au3 0.134 0.134 0.598
Au4 0.631 0.631 0.108
# Formation energy = -0.636 eV per atom
# Size of the total moment = 0.00 Bohr magnetons per cell

***

No. 18
# AlReAu4 GGA-PBE optimized geometry
data_AlReAu4
_cell_length_a 5.442
_cell_length_b 5.442
_cell_length_c 5.442
_cell_angle_alpha 60.00
_cell_angle_beta 60.00
_cell_angle_gamma 60.00
_space_group_name_H-M_alt 'P 1'
_space_group_IT_number 1
loop_
_space_group_symop_operation_xyz
'x,y,z'
loop_
_atom_site_label
_atom_site_fract_x
_atom_site_fract_y
_atom_site_fract_z
Al1 0.000 0.000 0.000
Re1 0.750 0.750 0.750
Au1 0.875 0.375 0.375
Au2 0.375 0.375 0.875
Au3 0.375 0.875 0.375
Au4 0.375 0.375 0.375
# Formation energy = 0.723 eV per atom
# Size of the total moment = 3.64 Bohr magnetons per cell

***

No. 19
# Y2BeCuNi GGA-PBE optimized geometry
data_Y2BeCuNi
_cell_length_a 5.052
_cell_length_b 4.444
_cell_length_c 5.052
_cell_angle_alpha 90.00
_cell_angle_beta 90.00
_cell_angle_gamma 90.00
_space_group_name_H-M_alt 'P 1'
_space_group_IT_number 1
loop_
_space_group_symop_operation_xyz
'x,y,z'
loop_
_atom_site_label
_atom_site_fract_x
_atom_site_fract_y
_atom_site_fract_z
Y1 0.000 0.000 0.500
Y2 0.500 0.000 0.000
Ni1 0.000 0.000 0.000
Cu1 0.000 0.500 0.000
Be1 0.500 0.500 0.500
# Formation energy = 0.344 eV per atom
# Size of the total moment = 0.00 Bohr magnetons per cell

***

No. 20
# DyErPd14 GGA-PBE optimized geometry
data_DyErPd14
_cell_length_a 5.738
_cell_length_b 5.738
_cell_length_c 7.987
_cell_angle_alpha 90.00
_cell_angle_beta 90.00
_cell_angle_gamma 89.99
_space_group_name_H-M_alt 'P 1'
_space_group_IT_number 1
loop_
_space_group_symop_operation_xyz
'x,y,z'
loop_
_atom_site_label
_atom_site_fract_x
_atom_site_fract_y
_atom_site_fract_z
Dy1 0.875 0.875 0.500
Er1 0.375 0.375 0.500
Pd1 0.875 0.875 0.000
Pd2 0.375 0.375 0.000
Pd3 0.875 0.375 0.500
Pd4 0.875 0.375 0.000
Pd5 0.375 0.875 0.500
Pd6 0.375 0.875 0.000
Pd7 0.624 0.126 0.242
Pd8 0.624 0.126 0.758
Pd9 0.126 0.624 0.242
Pd10 0.126 0.624 0.758
Pd11 0.624 0.624 0.242
Pd12 0.624 0.624 0.758
Pd13 0.126 0.126 0.242
Pd14 0.126 0.126 0.758
# Formation energy = -0.423 eV per atom
# Size of the total moment = 0.00 Bohr magnetons per cell